Record 1
# RbLa3Bi, relaxed, DFT GGA-PBE
# Total magnetization   0.0 μB per cell
# Formation energy from the elements   0.80 eV/atom
# E_tot   -3.126 eV/atom
data_RbLa3Bi
_chemical_formula_sum 'Rb1 La3 Bi1'
_symmetry_space_group_name_H-M 'P 1'
_symmetry_Int_Tables_number 1
_symmetry_space_group_name_Hall 'P 1'
_cell_length_a 5.661
_cell_length_b 5.661
_cell_length_c 5.661
_cell_angle_alpha 90.00
_cell_angle_beta 90.00
_cell_angle_gamma 90.00
loop_
_atom_site_label
_atom_site_type_symbol
_atom_site_fract_x
_atom_site_fract_y
_atom_site_fract_z
La1 La 0.500 0.000 0.000
La2 La 0.000 0.000 0.500
La3 La 0.000 0.500 0.000
Rb1 Rb 0.000 0.000 0.000
Bi1 Bi 0.500 0.500 0.500

Record 2
# SrIBr4, relaxed, DFT GGA-PBE
# Total magnetization   0.0 μB per cell
# E_form (uncorrected)   -0.94 eV per atom
# E_tot   -2.592 eV/atom
data_SrIBr4
_chemical_formula_sum 'Sr2 I2 Br8'
_symmetry_space_group_name_H-M 'P 1'
_symmetry_Int_Tables_number 1
_symmetry_space_group_name_Hall 'P 1'
_cell_length_a 7.976
_cell_length_b 7.968
_cell_length_c 8.885
_cell_angle_alpha 109.18
_cell_angle_beta 109.21
_cell_angle_gamma 105.50
loop_
_atom_site_label
_atom_site_type_symbol
_atom_site_fract_x
_atom_site_fract_y
_atom_site_fract_z
Sr1 Sr 0.339 0.589 0.178
Sr2 Sr 0.661 0.411 0.822
Br1 Br 0.703 0.591 0.531
Br2 Br 0.061 0.756 0.018
Br3 Br 0.297 0.409 0.469
Br4 Br 0.543 0.739 0.982
Br5 Br 0.328 0.940 0.531
Br6 Br 0.939 0.244 0.982
Br7 Br 0.672 0.060 0.469
Br8 Br 0.457 0.261 0.018
I1 I 0.906 0.156 0.313
I2 I 0.094 0.844 0.687

Record 3
# Cs3Tm2InS6, relaxed, DFT GGA-PBE
# Total magnetization   0.0 μB per cell
# E_form (uncorrected)   -1.47 eV per atom
# E_tot   -4.725 eV/atom
data_Cs3Tm2InS6
_chemical_formula_sum 'Cs3 Tm2 In1 S6'
_symmetry_space_group_name_H-M 'P 1'
_symmetry_Int_Tables_number 1
_symmetry_space_group_name_Hall 'P 1'
_cell_length_a 6.999
_cell_length_b 6.999
_cell_length_c 8.373
_cell_angle_alpha 98.01
_cell_angle_beta 98.01
_cell_angle_gamma 120.00
loop_
_atom_site_label
_atom_site_type_symbol
_atom_site_fract_x
_atom_site_fract_y
_atom_site_fract_z
Cs1 Cs 0.500 0.500 0.500
Cs2 Cs 0.167 0.833 0.500
Cs3 Cs 0.833 0.167 0.500
S1 S 0.940 0.610 0.821
S2 S 0.729 0.729 0.180
S3 S 0.060 0.390 0.179
S4 S 0.271 0.271 0.820
S5 S 0.390 0.060 0.179
S6 S 0.610 0.940 0.821
Tm1 Tm 0.333 0.667 0.000
Tm2 Tm 0.667 0.333 0.000
In1 In 0.000 0.000 0.000

Record 4
# KCa2CdO, relaxed, DFT GGA-PBE
# Total magnetization   0.0 μB per cell
# E_form (uncorrected)   -1.06 eV per atom
# E_tot   -3.251 eV/atom
data_KCa2CdO
_chemical_formula_sum 'K1 Ca2 Cd1 O1'
_symmetry_space_group_name_H-M 'P 1'
_symmetry_Int_Tables_number 1
_symmetry_space_group_name_Hall 'P 1'
_cell_length_a 4.808
_cell_length_b 4.808
_cell_length_c 5.622
_cell_angle_alpha 90.00
_cell_angle_beta 90.00
_cell_angle_gamma 90.00
loop_
_atom_site_label
_atom_site_type_symbol
_atom_site_fract_x
_atom_site_fract_y
_atom_site_fract_z
O1 O 0.000 0.000 0.000
Cd1 Cd 0.500 0.500 0.500
Ca1 Ca 0.000 0.500 0.000
Ca2 Ca 0.500 0.000 0.000
K1 K 0.000 0.000 0.500

Record 5
# Pm3GaSn3, relaxed, DFT GGA-PBE
# Total magnetization   0.0 μB per cell
# Formation energy from the elements   -0.70 eV/atom
# E_tot   -4.889 eV/atom
data_Pm3GaSn3
_chemical_formula_sum 'Pm6 Ga2 Sn6'
_symmetry_space_group_name_H-M 'P 1'
_symmetry_Int_Tables_number 1
_symmetry_space_group_name_Hall 'P 1'
_cell_length_a 4.493
_cell_length_b 6.253
_cell_length_c 14.874
_cell_angle_alpha 82.18
_cell_angle_beta 81.31
_cell_angle_gamma 68.95
loop_
_atom_site_label
_atom_site_type_symbol
_atom_site_fract_x
_atom_site_fract_y
_atom_site_fract_z
Sn1 Sn 0.879 0.165 0.077
Sn2 Sn 0.998 0.777 0.226
Sn3 Sn 0.121 0.835 0.923
Sn4 Sn 0.857 0.748 0.539
Sn5 Sn 0.002 0.223 0.774
Sn6 Sn 0.143 0.252 0.461
Pm1 Pm 0.730 0.772 0.768
Pm2 Pm 0.488 0.647 0.378
Pm3 Pm 0.270 0.228 0.232
Pm4 Pm 0.394 0.289 0.923
Pm5 Pm 0.512 0.353 0.622
Pm6 Pm 0.606 0.711 0.077
Ga1 Ga 0.774 0.081 0.371
Ga2 Ga 0.226 0.919 0.629

Record 6
# Y5ThAs6, relaxed, DFT GGA-PBE
# Total magnetization   0.0 μB per cell
# Formation energy from the elements   -1.54 eV/atom
# E_tot   -7.181 eV/atom
data_Y5ThAs6
_chemical_formula_sum 'Y5 Th1 As6'
_symmetry_space_group_name_H-M 'P 1'
_symmetry_Int_Tables_number 1
_symmetry_space_group_name_Hall 'P 1'
_cell_length_a 7.185
_cell_length_b 7.185
_cell_length_c 7.188
_cell_angle_alpha 99.62
_cell_angle_beta 99.62
_cell_angle_gamma 119.95
loop_
_atom_site_label
_atom_site_type_symbol
_atom_site_fract_x
_atom_site_fract_y
_atom_site_fract_z
Th1 Th 0.000 0.000 0.000
As1 As 0.916 0.580 0.748
As2 As 0.748 0.748 0.251
As3 As 0.084 0.420 0.252
As4 As 0.252 0.252 0.749
As5 As 0.420 0.084 0.252
As6 As 0.580 0.916 0.748
Y1 Y 0.166 0.834 0.500
Y2 Y 0.667 0.333 0.000
Y3 Y 0.834 0.166 0.500
Y4 Y 0.333 0.667 0.000
Y5 Y 0.500 0.500 0.500